Record 1
The following is a GGA-PBE calculation of a relaxed NaNdAg2Br6 crystal, from the Alexandria database.

Cell lengths 7.423, 7.346, 8.255 Å; angles 90.01, 117.21, 120.70 degrees
Positions (direct):
1 Na 0.005 0.005 0.989
2 Nd 0.979 0.493 0.452
3 Ag 0.628 0.809 0.404
4 Ag 0.447 0.225 0.666
5 Br 0.484 0.887 0.719
6 Br 0.497 0.083 0.223
7 Br 0.831 0.734 0.218
8 Br 0.159 0.414 0.236
9 Br 0.830 0.600 0.697
10 Br 0.107 0.227 0.698

Results
Formation energy (no corrections) (eV/atom): -1.173
D(E_F) (states/eV/cell): 0.00
Volume (Å³/atom): 32.8

---

Record 2
The following is a GGA-PBE calculation of a relaxed NaNiAg2Br6 crystal, from the Alexandria database.

Cell lengths 6.965, 6.962, 7.553 Å; angles 62.47, 62.47, 59.95 degrees
Last column: magnetic moment on the atom in μB.
Positions (direct):
1 Na 0.816 0.816 0.552  0.00
2 Ni 0.330 0.329 0.012  1.31
3 Ag 0.517 0.516 0.450  0.01
4 Ag 0.001 0.001 0.997  0.00
5 Br 0.568 0.248 0.234  0.07
6 Br 0.248 0.950 0.234  0.07
7 Br 0.950 0.568 0.234  0.07
8 Br 0.387 0.714 0.768  0.08
9 Br 0.713 0.132 0.767  0.08
10 Br 0.132 0.388 0.768  0.08

Results
Formation energy (no corrections) (eV/atom): -0.500
D(E_F) (states/eV/cell): 8.96
Volume (Å³/atom): 26.8

---

Record 3
The following is a GGA-PBE calculation of a relaxed Na2NiAgBr6 crystal, from the Alexandria database.

Cell lengths 7.140, 7.134, 7.337 Å; angles 60.85, 60.90, 59.95 degrees
Last column: magnetic moment on the atom in μB.
Positions (direct):
1 Na 0.533 0.532 0.402  0.00
2 Na 0.024 0.025 0.926  0.00
3 Ni 0.325 0.325 0.025  0.80
4 Ag 0.822 0.822 0.535  -0.03
5 Br 0.562 0.189 0.260  0.03
6 Br 0.190 0.989 0.259  0.03
7 Br 0.989 0.562 0.260  0.03
8 Br 0.454 0.663 0.783  0.03
9 Br 0.663 0.099 0.783  0.03
10 Br 0.099 0.455 0.782  0.03

Results
Formation energy (no corrections) (eV/atom): -0.757
D(E_F) (states/eV/cell): 2.68
Volume (Å³/atom): 26.8

---

Record 4
The following is a GGA-PBE calculation of a relaxed Na2NpAgBr6 crystal, from the Alexandria database.

Cell lengths 7.216, 7.762, 11.025 Å; angles 90.00, 88.31, 90.00 degrees
Last column: magnetic moment on the atom in μB.
Positions (direct):
1 Na 0.962 0.907 0.242  0.00
2 Na 0.538 0.407 0.258  0.00
3 Na 0.462 0.593 0.742  0.00
4 Na 0.038 0.093 0.758  0.00
5 Np 0.000 0.500 0.500  3.97
6 Np 0.500 0.000 0.000  3.97
7 Ag 0.000 0.500 0.000  0.00
8 Ag 0.500 0.000 0.500  0.00
9 Br 0.850 0.438 0.743  -0.01
10 Br 0.820 0.189 0.075  -0.01
11 Br 0.821 0.185 0.424  -0.02
12 Br 0.679 0.685 0.076  -0.02
13 Br 0.680 0.689 0.425  -0.01
14 Br 0.650 0.938 0.757  -0.01
15 Br 0.350 0.062 0.243  -0.01
16 Br 0.320 0.311 0.575  -0.01
17 Br 0.321 0.315 0.924  -0.02
18 Br 0.180 0.811 0.925  -0.01
19 Br 0.179 0.815 0.576  -0.02
20 Br 0.150 0.562 0.257  -0.01

Results
Formation energy (no corrections) (eV/atom): -1.191
D(E_F) (states/eV/cell): 10.61
Volume (Å³/atom): 30.9